Compound: LaPb2W
Source: Alexandria
Functional: PBE-GGA
Structure: optimized geometry

The total energy comes out at -89.02 eV/cell. The value obtained for the energy above the lowest structure with this stoichiometry is 386 meV/atom. For the density of states at the Fermi level, the calculation gives 0.944 states/eV/atom. The value obtained for the calculated volume is 112.82 Å³/f.u.

The space group is I-42d (No. 122) and the conventional cell measures 4.535, 4.535 and 21.941 Å, with angles of 90.00, 90.00 and 90.00 degrees. The asymmetric unit holds La at (0.000, 0.000, 0.000), Pb at (0.223, 0.250, 0.625) and W at (0.000, 0.000, 0.500).